# 1
Sr5LiMg4 | GGA-PBE | optimized geometry

Cell: 4.1536 4.1536 21.2843 Å, 90.00 90.00 90.00°
Last column: nearest neighbours and their distance in Å.
Space group P4/mmm (No. 123)
One atom of each set of equivalent atoms:
Sr  0.0000  0.0000  0.0000 [1 per cell]  8 Mg 3.61
Sr  0.0000  0.0000  0.1988 [2 per cell]  8 Mg 3.63
Sr  0.0000  0.0000  0.3982 [2 per cell]  4 Mg 3.62, 4 Li 3.65
Li  0.5000  0.5000  0.5000 [1 per cell]  8 Sr 3.65
Mg  0.5000  0.5000  0.0987 [2 per cell]  8 Sr 3.61-3.63
Mg  0.5000  0.5000  0.2991 [2 per cell]  8 Sr 3.62-3.63

Results
Total energy   -1.713 eV per atom
Formation enthalpy at 0 K   -0.043 eV per atom
Calculated density   2.45 g/cm³


# 2
SrLi10Mg | GGA-PBE | optimized geometry

Cell: 4.7979 5.8085 10.1671 Å, 90.00 90.00 90.00°
Last column: nearest neighbours and their distance in Å.
Space group Pmmm (No. 47)
One atom of each set of equivalent atoms:
Sr  0.0000  0.0000  0.0000 [1 per cell]  10 Li 3.51-3.77
Li  0.0000  0.0000  0.3528 [2 per cell]  7 Li 2.83-2.99
Li  0.0000  0.5000  0.1943 [2 per cell]  6 Li 2.88-3.11, 1 Mg 3.11
Li  0.5000  0.0000  0.5000 [1 per cell]  8 Li 2.76-2.83
Li  0.5000  0.2610  0.2730 [4 per cell]  7 Li 2.76-3.03
Li  0.5000  0.5000  0.0000 [1 per cell]  8 Li 3.10-3.11
Mg  0.0000  0.5000  0.5000 [1 per cell]  6 Li 3.11-3.27

Results
Total energy   -1.814 eV per atom
Formation enthalpy at 0 K   0.054 eV per atom
Calculated density   1.06 g/cm³


# 3
SrLi5Mg | GGA-PBE | optimized geometry

Cell: 4.1612 4.1612 10.5445 Å, 90.00 90.00 90.00°
Last column: nearest neighbours and their distance in Å.
Space group P4/mmm (No. 123)
One atom of each set of equivalent atoms:
Sr  0.0000  0.0000  0.0000 [1 per cell]  8 Li 3.65
Li  0.0000  0.0000  0.5000 [1 per cell]  4 Mg 2.94, 8 Li 3.08
Li  0.0000  0.5000  0.2846 [4 per cell]  6 Li 2.94-3.08, 2 Mg 3.08
Mg  0.5000  0.5000  0.5000 [1 per cell]  12 Li 2.94-3.08

Results
Energy above the lowest structure with this stoichiometry   0.000 eV/atom
Total energy   -1.797 eV per atom
Formation enthalpy at 0 K   0.038 eV per atom
Calculated density   1.33 g/cm³


# 4
Sr3Li2Mg | GGA-PBE | optimized geometry

Cell: 4.1836 4.1836 12.8196 Å, 90.00 90.00 90.00°
Last column: nearest neighbours and their distance in Å.
Space group P4/mmm (No. 123)
One atom of each set of equivalent atoms:
Sr  0.0000  0.0000  0.0000 [1 per cell]  8 Li 3.66
Sr  0.0000  0.0000  0.3357 [2 per cell]  4 Mg 3.63, 4 Li 3.66
Li  0.5000  0.5000  0.1677 [2 per cell]  8 Sr 3.66
Mg  0.5000  0.5000  0.5000 [1 per cell]  8 Sr 3.63

Results
Energy above the lowest structure with this stoichiometry   0.000 eV/atom
Total energy   -1.749 eV per atom
Formation enthalpy at 0 K   -0.004 eV per atom
Calculated density   2.23 g/cm³


# 5
SrLi2Mg | GGA-PBE | optimized geometry

Cell: 5.1493 5.1493 4.6034 Å, 90.00 90.00 90.00°
Last column: nearest neighbours and their distance in Å.
Space group P4/mmm (No. 123)
One atom of each set of equivalent atoms:
Sr  0.0000  0.0000  0.0000 [1 per cell]  8 Li 3.45, 4 Mg 3.64
Li  0.0000  0.5000  0.5000 [2 per cell]  4 Mg 3.45, 4 Sr 3.45, 4 Li 3.64
Mg  0.5000  0.5000  0.0000 [1 per cell]  8 Li 3.45, 4 Sr 3.64

Results
Energy above the lowest structure with this stoichiometry   0.121 eV/atom
Total energy   -1.689 eV per atom
Formation enthalpy at 0 K   0.087 eV per atom
Calculated density   1.71 g/cm³


# 6
SrLi2Mg | GGA-PBE | optimized geometry

Cell: 5.1423 5.1423 15.3998 Å, 90.00 90.00 120.00°
Last column: nearest neighbours and their distance in Å.
Space group R-3m (No. 166, hexagonal axes)
One atom of each set of equivalent atoms:
Sr  0.0000  0.0000  0.0000 [3 per cell]  8 Li 3.33-3.47
Li  0.0000  0.0000  0.2165 [6 per cell]  3 Mg 3.07, 1 Sr 3.33, 3 Li 3.34
Mg  0.0000  0.0000  0.5000 [3 per cell]  6 Li 3.07

Results
Energy above the lowest structure with this stoichiometry   0.048 eV/atom
Total energy   -1.761 eV per atom
Formation enthalpy at 0 K   0.015 eV per atom
Calculated density   1.78 g/cm³


# 7
Sr2Li9Mg | GGA-PBE | optimized geometry

Cell: 6.0891 6.0891 28.8352 Å, 90.00 90.00 120.00°
Last column: nearest neighbours and their distance in Å.
Space group R-3m (No. 166, hexagonal axes)
One atom of each set of equivalent atoms:
Sr  0.0000  0.0000  0.1334 [6 per cell]  9 Li 3.45-3.64, 1 Mg 3.85
Li  0.0000  0.0000  0.3335 [6 per cell]  6 Li 2.83
Li  0.0000  0.0000  0.5000 [3 per cell]  6 Li 3.13
Li  0.0019  0.5010  0.9231 [18 per cell]  7 Li 2.83-3.13
Mg  0.0000  0.0000  0.0000 [3 per cell]  18 Li 3.52-3.77, 2 Sr 3.85

Results
Total energy   -1.802 eV per atom
Formation enthalpy at 0 K   0.047 eV per atom
Calculated density   1.41 g/cm³


# 8
SrLi3Mg9 | GGA-PBE | optimized geometry

Cell: 5.5880 14.9000 7.9626 Å, 90.00 110.11 90.00°
Last column: nearest neighbours and their distance in Å.
Space group C2/m (No. 12)
One atom of each set of equivalent atoms:
Sr  0.0000  0.0000  0.0000 [2 per cell]  14 Mg 3.63-3.98, 6 Li 3.98-4.00
Li  0.0000  0.5000  0.5000 [2 per cell]  6 Mg 2.79-3.01
Li  0.2500  0.2500  0.0000 [4 per cell]  2 Li 2.79, 4 Mg 2.97-2.98
Mg  0.0000  0.0000  0.5000 [2 per cell]  2 Li 2.79, 4 Mg 3.05
Mg  0.1047  0.3884  0.2171 [8 per cell]  3 Li 2.97-3.01, 5 Mg 3.05-3.28
Mg  0.1777  0.1792  0.3550 [8 per cell]  6 Mg 3.03-3.35, 3 Li 3.17-3.21

Results
Total energy   -1.727 eV per atom
Formation enthalpy at 0 K   -0.052 eV per atom
Calculated density   1.75 g/cm³


# 9
SrLi3Mg3 | GGA-PBE | optimized geometry

Cell: 8.8789 8.8789 5.1125 Å, 90.00 90.00 120.00°
Last column: nearest neighbours and their distance in Å.
Space group P6_3/m (No. 176)
One atom of each set of equivalent atoms:
Sr  0.3333  0.6667  0.2500 [2 per cell]  9 Li 3.20-3.37, 3 Mg 3.58
Li  0.0686  0.4399  0.7500 [6 per cell]  3 Mg 2.90-3.10, 1 Sr 3.20, 2 Li 3.23
Mg  0.0027  0.2175  0.2500 [6 per cell]  3 Li 2.90-3.10, 4 Mg 3.20

Results
Energy above the lowest structure with this stoichiometry   0.000 eV/atom
Total energy   -1.747 eV per atom
Formation enthalpy at 0 K   -0.003 eV per atom
Calculated density   1.73 g/cm³


# 10
SrLi4Mg6 | GGA-PBE | optimized geometry

Cell: 7.2772 7.2772 10.4896 Å, 90.00 90.00 90.00°
Last column: nearest neighbours and their distance in Å.
Space group I-42m (No. 121)
One atom of each set of equivalent atoms:
Sr  0.0000  0.0000  0.0000 [2 per cell]  12 Mg 3.64-3.75, 4 Li 3.71
Li  0.1484  0.1484  0.4232 [8 per cell]  2 Li 2.69, 6 Mg 2.76-3.00
Mg  0.0000  0.5000  0.0000 [4 per cell]  4 Li 2.89
Mg  0.2035  0.2035  0.7038 [8 per cell]  4 Li 2.76-3.00

Results
Total energy   -1.632 eV per atom
Formation enthalpy at 0 K   0.086 eV per atom
Calculated density   1.56 g/cm³


# 11
Sr3Li8Mg3 | GGA-PBE | optimized geometry

Cell: 5.0240 10.5827 14.8467 Å, 90.00 90.00 90.00°
Last column: nearest neighbours and their distance in Å.
Space group Immm (No. 71)
One atom of each set of equivalent atoms:
Sr  0.0000  0.0000  0.0000 [2 per cell]  4 Li 3.46
Sr  0.0000  0.0000  0.3103 [4 per cell]  10 Li 3.55-3.70, 4 Mg 3.63-3.77
Li  0.0000  0.2778  0.1230 [8 per cell]  3 Li 2.97-3.02, 3 Mg 2.98-3.11
Li  0.0000  0.3495  0.3200 [8 per cell]  4 Li 2.97-3.18, 1 Mg 3.02
Mg  0.0000  0.2162  0.5000 [4 per cell]  6 Li 3.02-3.11
Mg  0.0000  0.5000  0.0000 [2 per cell]  4 Li 2.98

Results
Total energy   -1.795 eV per atom
Formation enthalpy at 0 K   0.001 eV per atom
Calculated density   1.65 g/cm³


# 12
SrLi3Mg2 | GGA-PBE | optimized geometry

Cell: 10.9969 9.4896 6.2089 Å, 90.00 90.00 90.00°
Last column: nearest neighbours and their distance in Å.
Space group Cmcm (No. 63)
One atom of each set of equivalent atoms:
Sr  0.0000  0.1744  0.2500 [4 per cell]  7 Li 3.43-3.79, 4 Mg 3.77
Li  0.0000  0.4642  0.7500 [4 per cell]  4 Li 2.85-3.18, 4 Mg 2.95
Li  0.1647  0.2322  0.7500 [8 per cell]  1 Li 2.85, 4 Mg 2.95-3.05
Mg  0.2262  0.5000  0.0000 [8 per cell]  6 Li 2.95-3.05, 2 Mg 3.10

Results
Total energy   -1.766 eV per atom
Formation enthalpy at 0 K   0.002 eV per atom
Calculated density   1.61 g/cm³